This record from the Alexandria database describes an optimized crystal structure of LaNdTmSn. The functional is PBE-GGA.

abc: 5.565 5.565 5.565
angles: 60.00 60.00 60.00
Element x y z (fractional)
La: 0.000 0.000 0.000
Nd: 0.500 0.500 0.500
Tm: 0.250 0.250 0.250
Sn: 0.750 0.750 0.750

Calculated values
formation energy	-1.08	eV/f.u.
mass density	7.78	g cm⁻³
space-group type	F-43m (216)
M_tot	0.00	μB per formula unit
N(E_F)	6.46	states/eV per cell